Sr2MgIr after structural relaxation, computed with PBE.

Geometry as POSCAR:
```
Sr2MgIr
1.0
-6.088 -5.347 -1.982
3.120 -0.212 4.000
-3.334 -0.525 2.571
Mg Sr Ir
1 2 1
Direct
0.500 0.500 0.000
0.000 0.000 0.000
0.500 0.000 0.500
0.000 0.500 0.500
```

The calculated volume comes out at 109.4 Å³/cell. As for the calculated density: 5.95 g/cm³. The calculation puts the calculated total energy at -13.5 eV for the cell shown. The value obtained for the formation energy from the elements is 0.079 eV/atom. The value obtained for the magnetic moment is 0.00 μB per atom.